Record 1
4
Lattice="-2.611 -1.169 -1.545 0.551 -0.721 -3.808 0.942 -6.226 -0.302" Properties=species:S:1:pos:R:3 comment="InCuP2 meta-GGA SCAN single point on PBEsol structure" volume_a3_per_atom=17.40 space_group="No. 8" formation_enthalpy_0k_ev_per_fu=0.355 total_magnetization_mub_per_fu=0.0 n_ef_per_ev_fu=1.3 pbc="T T T"
Cu -0.741 -3.750 -2.754
In -0.802 -6.013 -4.359
P -2.258 -1.364 -1.994
P -0.487 -2.217 -0.920

---

Record 2
5
Lattice="5.243 0.000 0.000 0.000 5.421 0.000 0.000 0.000 5.421" Properties=species:S:1:pos:R:3 comment="HfHgRhPb2 meta-GGA SCAN single point on PBEsol structure" volume_a3_per_atom=30.81 space_group="No. 123" formation_enthalpy_0k_ev_per_fu=5.310 total_magnetization_mub_per_fu=1.3 n_ef_per_ev_fu=4.2 pbc="T T T"
Pb 0.000 0.000 2.710
Pb 0.000 2.710 0.000
Rh 2.622 2.710 2.710
Hf 0.000 0.000 0.000
Hg 2.622 0.000 0.000

---

Record 3
6
Lattice="4.845 0.000 0.000 -2.422 4.196 0.000 0.000 0.000 7.715" Properties=species:S:1:pos:R:3 comment="NaInSn meta-GGA SCAN single point on PBEsol structure" volume_a3_per_atom=26.14 space_group="No. 186" formation_enthalpy_0k_ev_per_fu=-0.894 total_magnetization_mub_per_fu=0.0 n_ef_per_ev_fu=0.4 pbc="T T T"
Na 0.000 0.000 1.936
Na 0.000 0.000 5.794
Sn 2.422 1.399 4.276
Sn 0.000 2.797 0.418
In 2.422 1.399 7.290
In 0.000 2.797 3.432

---

Record 4
4
Lattice="-1.502 1.940 -0.863 0.776 -1.741 -1.770 -6.969 -4.698 1.567" Properties=species:S:1:pos:R:3 comment="FeNiOs2 meta-GGA SCAN single point on PBEsol structure" volume_a3_per_atom=12.95 space_group="No. 35" polymorph_energy_ev_per_atom=0.199 formation_enthalpy_0k_ev_per_fu=1.568 total_magnetization_mub_per_fu=4.3 n_ef_per_ev_fu=4.0 pbc="T T T"
Fe -3.412 -2.300 0.767
Ni -2.181 -1.126 -0.908
Os -0.066 -0.044 0.015
Os -5.520 -3.377 -0.157

---

Record 5
4
Lattice="2.783 0.000 0.000 0.000 4.835 0.000 0.000 0.000 4.912" Properties=species:S:1:pos:R:3 comment="Re2HgCl meta-GGA SCAN single point on PBEsol structure" volume_a3_per_atom=16.52 space_group="No. 47" raw_formation_energy_mev_per_atom=1161.5 polymorph_energy_ev_per_atom=0.847 total_magnetization_mub_per_fu=0.4 n_ef_per_ev_fu=2.4 pbc="T T T"
Re 0.000 0.000 0.000
Re 1.391 0.000 2.456
Hg 0.000 2.418 2.456
Cl 1.391 2.418 0.000

---

Record 6
4
Lattice="-0.261 4.423 0.862 -0.655 1.441 4.227 3.341 2.067 2.223" Properties=species:S:1:pos:R:3 comment="AlSnMo2 meta-GGA SCAN single point on PBEsol structure" volume_a3_per_atom=16.26 space_group="No. 225" formation_enthalpy_0k_ev_per_fu=1.195 total_magnetization_mub_per_fu=0.0 n_ef_per_ev_fu=4.8 pbc="T T T"
Mo 0.606 1.983 1.828
Mo 1.819 5.949 5.484
Sn 1.212 3.966 3.656
Al 0.000 0.000 0.000

---

Record 7
4
Lattice="-1.055 2.934 -0.519 -1.131 0.308 4.037 5.575 2.250 1.390" Properties=species:S:1:pos:R:3 comment="Zr2ScAl meta-GGA SCAN single point on PBEsol structure" volume_a3_per_atom=20.50 space_group="No. 47" formation_enthalpy_0k_ev_per_fu=-0.783 total_magnetization_mub_per_fu=0.0 n_ef_per_ev_fu=3.9 pbc="T T T"
Sc 1.695 2.746 2.454
Al -1.093 1.621 1.759
Zr 4.222 1.704 1.053
Zr 1.353 0.546 0.337

---

Record 8
4
Lattice="-1.863 -1.983 0.469 0.949 -1.913 -4.321 3.919 -0.834 3.918" Properties=species:S:1:pos:R:3 comment="AgIrAu2 meta-GGA SCAN single point on PBEsol structure" volume_a3_per_atom=16.19 space_group="No. 44" polymorph_energy_ev_per_atom=0.000 formation_enthalpy_0k_ev_per_fu=1.148 total_magnetization_mub_per_fu=0.0 n_ef_per_ev_fu=2.3 pbc="T T T"
Ir 3.446 -2.768 1.982
Au 0.008 -0.006 0.004
Au 0.842 -2.416 1.254
Ag 2.172 -2.320 -1.184

---

Record 9
4
Lattice="-0.355 -0.168 -3.324 -1.531 -2.633 -1.389 -5.961 1.944 -1.147" Properties=species:S:1:pos:R:3 comment="MgInO2 meta-GGA SCAN single point on PBEsol structure" volume_a3_per_atom=14.73 space_group="No. 166" raw_formation_energy_mev_per_atom=-1637.7 polymorph_energy_ev_per_atom=0.000 total_magnetization_mub_per_fu=0.0 n_ef_per_ev_fu=0.7 pbc="T T T"
Mg 0.000 0.000 0.000
O -3.610 -1.870 -4.576
O -4.236 1.013 -1.284
In -3.923 -0.428 -2.930

---

Record 10
5
Lattice="4.772 0.000 0.000 0.000 4.928 0.000 0.000 0.000 4.928" Properties=species:S:1:pos:R:3 comment="FeSbPdPb2 meta-GGA SCAN single point on PBEsol structure" volume_a3_per_atom=23.18 space_group="No. 123" raw_formation_energy_mev_per_atom=479.0 total_magnetization_mub_per_fu=0.0 n_ef_per_ev_fu=2.8 pbc="T T T"
Pb 0.000 0.000 2.464
Pb 0.000 2.464 0.000
Sb 2.386 0.000 0.000
Fe 0.000 0.000 0.000
Pd 2.386 2.464 2.464

---

Record 11
10
Lattice="3.895 0.000 0.000 0.000 7.162 0.000 0.000 0.000 7.162" Properties=species:S:1:pos:R:3 comment="La2Co2Ag meta-GGA SCAN single point on PBEsol structure" volume_a3_per_atom=19.97 space_group="No. 127" formation_enthalpy_0k_ev_per_fu=0.154 total_magnetization_mub_per_fu=1.4 n_ef_per_ev_fu=3.9 pbc="T T T"
Co 0.000 2.781 6.362
Co 0.000 6.362 4.381
Co 0.000 4.381 0.800
Co 0.000 0.800 2.781
Ag 0.000 0.000 0.000
Ag 0.000 3.581 3.581
La 1.947 1.310 4.891
La 1.947 4.891 5.852
La 1.947 5.852 2.271
La 1.947 2.271 1.310

---

Record 12
5
Lattice="4.400 0.000 0.000 0.000 4.449 0.000 0.000 0.000 4.449" Properties=species:S:1:pos:R:3 comment="ZnCoTc2I meta-GGA SCAN single point on PBEsol structure" volume_a3_per_atom=17.42 space_group="No. 123" raw_formation_energy_mev_per_atom=1248.5 total_magnetization_mub_per_fu=0.0 n_ef_per_ev_fu=5.2 pbc="T T T"
I 2.200 2.224 2.224
Zn 2.200 0.000 0.000
Co 0.000 0.000 0.000
Tc 0.000 0.000 2.224
Tc 0.000 2.224 0.000

---

What is the formula in the ninth record?
MgInO2